[1]
First-principles (PBE-GGA) data for a geometry-optimized KRe2Hg structure, as listed in Alexandria via LeMat-Bulk.

Unit cell a=3.791 b=3.791 c=9.478 alpha=84.25 beta=84.25 gamma=47.03
Sites, in units of the cell vectors:
Hg (0.462, 0.462, 0.544)
Re (0.769, 0.769, 0.792)
Re (0.030, 0.030, 0.925)
K (0.239, 0.239, 0.238)

Computed properties:
- E_form (eV/atom) = 0.7562
- symmetry = Cm, No. 8
- raw total energy (eV/atom) = -5.8177


[2]
First-principles (PBE-GGA) data for a geometry-optimized KRe2Hg structure, as listed in Alexandria via LeMat-Bulk.

Unit cell a=6.236 b=6.236 c=2.771 alpha=77.55 beta=77.55 gamma=125.53
Sites, in units of the cell vectors:
Re (0.000, 0.000, 0.000)
Re (0.500, 0.500, 0.000)
K (0.000, 0.500, 0.500)
Hg (0.500, 0.000, 0.500)

Computed properties:
- E_form (eV/atom) = 1.3230
- symmetry = C2/m, No. 12
- raw total energy (eV/atom) = -5.2508


- Which value of E_form does entry 1 give?
  0.7562 eV/atom


- The lowest raw total energy belongs to which entry?
  number 1


- Which value of raw total energy does entry 2 give?
  -5.2508 eV/atom